DFT (PBE) results for crystalline CsTmSO at its relaxed geometry.

Output
**Energy above the most stable polymorph in this dataset**: 239 meV per atom
**M_tot**: 0.00 μB/f.u.
**Space-group type**: Pca2_1 (29)
**Calculated density**: 4679 kg/m³

Unit cell a=8.0552 b=9.0737 c=6.7961 alpha=90.00 beta=90.00 gamma=90.00
Closest atoms and distances in Å follow each position.
Positions (direct):
Cs 0.1189 0.1064 0.0000  3 O 2.91-3.02
Cs 0.3811 0.1064 0.5000  3 O 2.91-3.02
Cs 0.6189 0.8936 0.0000  3 O 2.91-3.02
Cs 0.8811 0.8936 0.5000  3 O 2.91-3.02
Tm 0.0745 0.6267 0.0342  1 O 1.95
Tm 0.4255 0.6267 0.5342  1 O 1.95
Tm 0.5745 0.3733 0.0342  1 O 1.95
Tm 0.9255 0.3733 0.5342  1 O 1.95
S 0.1138 0.5959 0.6507  3 Tm 2.64-2.65
S 0.3862 0.5959 0.1507  3 Tm 2.64-2.65
S 0.6138 0.4041 0.6507  3 Tm 2.64-2.65
S 0.8862 0.4041 0.1507  3 Tm 2.64-2.65
O 0.0231 0.1810 0.5871  1 Tm 1.95
O 0.4769 0.1810 0.0871  1 Tm 1.95
O 0.5231 0.8190 0.5871  1 Tm 1.95
O 0.9769 0.8190 0.0871  1 Tm 1.95



DFT (PBE) results for crystalline CsTmSO at its relaxed geometry.

Output
**Energy above the most stable polymorph in this dataset**: 25 meV per atom
**M_tot**: 0.00 μB/f.u.
**Space-group type**: Pmc2_1 (26)
**Calculated density**: 4625 kg/m³

Unit cell a=4.3129 b=8.5807 c=6.7888 alpha=90.00 beta=90.00 gamma=90.00
Closest atoms and distances in Å follow each position.
Positions (direct):
Cs 0.0000 0.1888 0.0000  2 O 3.17, 3 S 3.37-3.48
Cs 0.0000 0.8112 0.5000  2 O 3.17, 3 S 3.37-3.48
Tm 0.5000 0.3830 0.4453  2 O 2.08-2.09
Tm 0.5000 0.6170 0.9453  2 O 2.08-2.09
S 0.0000 0.2167 0.5050  2 Tm 2.62
S 0.0000 0.7833 0.0050  2 Tm 2.62
O 0.5000 0.4335 0.1445  2 Tm 2.08-2.09
O 0.5000 0.5665 0.6445  2 Tm 2.08-2.09



DFT (PBE) results for crystalline CsTmSO at its relaxed geometry.

Output
**Energy above the most stable polymorph in this dataset**: 85 meV per atom
**M_tot**: 0.00 μB/f.u.
**Space-group type**: P6_3mc (186)
**Calculated density**: 6488 kg/m³

Unit cell a=3.7142 b=3.7142 c=14.9922 alpha=90.00 beta=90.00 gamma=120.00
Closest atoms and distances in Å follow each position.
Positions (direct):
Cs 0.3333 0.6667 0.0000  3 O 3.26, 3 S 3.27
Cs 0.6667 0.3333 0.5000  3 O 3.26, 3 S 3.27
Tm 0.0000 0.0000 0.2732  3 O 2.34
Tm 0.0000 0.0000 0.7732  3 O 2.34
S 0.3333 0.6667 0.6648  3 Tm 2.69
S 0.6667 0.3333 0.1648  3 Tm 2.69
O 0.3333 0.6667 0.3360  3 Tm 2.34
O 0.6667 0.3333 0.8360  3 Tm 2.34



> Which value of calculated density does entry 3 give?

6488 kg/m³